1.
Computed, not measured: La4GePb after structural relaxation at the PBE level of DFT.

The structure in POSCAR format:
```
La4GePb
1.0
6.014 0.000 0.000
0.000 7.057 0.000
-1.717 0.000 9.001
La Ge Pb
8 2 2
Cartesian
0.895 1.764 0.429
0.609 5.293 3.333
0.675 3.706 6.739
0.675 6.879 6.739
3.622 0.178 2.262
3.622 3.351 2.262
3.688 1.764 5.667
3.402 5.293 8.572
1.988 5.293 0.465
2.309 1.764 8.536
0.636 1.764 3.771
3.661 5.293 5.230
```

Output
ΔE to the lowest computed polymorph = 0.0 meV/atom
Space group = P2_1/m
Total DFT energy (no corrections) = -5.212 eV/atom

---

2.
Computed, not measured: Ho2ZrS3 after structural relaxation at the PBE level of DFT.

The structure in POSCAR format:
```
Ho2ZrS3
1.0
3.716 0.000 0.000
-1.858 3.218 0.000
0.000 0.000 19.855
Ho Zr S
4 2 6
Cartesian
0.000 2.146 1.590
0.000 2.146 8.337
1.858 1.073 11.518
1.858 1.073 18.264
0.000 0.000 4.964
0.000 0.000 14.891
0.000 0.000 0.000
0.000 0.000 9.927
0.000 2.146 13.298
0.000 2.146 16.484
1.858 1.073 3.370
1.858 1.073 6.557
```

Output
Space group = P6_3/mmc
Total DFT energy (no corrections) = -6.764 eV/atom

---

3.
Computed, not measured: Rb2BeSe2 after structural relaxation at the PBE level of DFT.

The structure in POSCAR format:
```
Rb2BeSe2
1.0
-3.586 6.814 3.116
3.586 -6.814 3.116
3.586 6.814 -3.116
Rb Be Se
4 2 4
Cartesian
1.243 1.977 0.000
1.243 -1.977 3.116
2.343 8.791 0.000
2.343 4.836 3.116
3.586 0.000 1.558
0.000 6.814 1.558
4.761 1.255 0.000
1.175 5.559 0.000
2.411 1.255 3.116
-1.175 5.559 3.116
```

Output
ΔE to the lowest computed polymorph = 0.0 meV/atom
Space group = Ibam
Total DFT energy (no corrections) = -3.555 eV/atom

---

4.
Computed, not measured: BaTlAg4 after structural relaxation at the PBE level of DFT.

The structure in POSCAR format:
```
BaTlAg4
1.0
0.000 4.155 4.155
4.155 0.000 4.155
4.155 4.155 0.000
Ba Tl Ag
1 1 4
Cartesian
0.000 0.000 0.000
6.232 6.232 6.232
3.126 3.126 3.126
5.183 5.183 3.126
5.183 3.126 5.183
3.126 5.183 5.183
```

Output
Space group = F-43m
Total DFT energy (no corrections) = -2.758 eV/atom